The following is a PBE calculation of a relaxed structure of Ce4PmTh, from the Alexandria database.

Geometry as POSCAR:
```
Ce4PmTh
1.0
6.277 0.000 0.000
3.139 5.436 0.000
3.139 1.812 5.125
Ce Pm Th
4 1 1
Direct
0.627 0.120 0.627
0.120 0.627 0.627
0.627 0.627 0.627
0.627 0.627 0.120
0.250 0.250 0.250
0.000 0.000 0.000
```

Output
DOS at the Fermi energy = 19.50 states/eV per cell
Symmetry = F-43m
Crystal system = cubic
Uncorrected energy = -5.79 eV per atom
Energy relative to the elements = 1.14 eV per formula unit

=====

The following is a PBE calculation of a relaxed structure of Cr2CdPt, from the Alexandria database.

Geometry as POSCAR:
```
Cr2CdPt
1.0
-0.220 -2.265 -1.565
2.500 0.294 1.137
-2.622 -4.538 6.935
Pt Cr Cd
1 2 1
Direct
0.000 0.000 0.474
0.000 0.000 0.039
0.500 0.500 0.228
0.500 0.500 0.759
```

Output
DOS at the Fermi energy = 2.94 states/eV per cell
Symmetry = Cmm2
Crystal system = orthorhombic
Uncorrected energy = -6.37 eV per atom
Energy relative to the elements = 0.71 eV per formula unit

=====

The following is a PBE calculation of a relaxed structure of K2PbF7, from the Alexandria database.

Geometry as POSCAR:
```
K2PbF7
1.0
5.907 0.000 2.881
2.276 7.061 2.830
-0.101 -0.023 7.705
F K Pb
14 4 2
Direct
0.869 0.725 0.059
0.089 0.987 0.676
0.751 0.513 0.824
0.131 0.275 0.941
0.911 0.013 0.324
0.652 0.775 0.441
0.652 0.250 0.750
0.249 0.487 0.176
0.348 0.225 0.559
0.243 0.866 0.967
0.757 0.134 0.033
0.348 0.750 0.250
0.076 0.634 0.533
0.924 0.366 0.467
0.679 0.907 0.734
0.321 0.093 0.266
0.320 0.593 0.766
0.680 0.407 0.234
0.003 0.750 0.250
0.997 0.250 0.750
```

Output
DOS at the Fermi energy = 0.43 states/eV per cell
ΔE_f (raw) = -2.12 eV/atom
Symmetry = C2/c
Crystal system = monoclinic
Uncorrected energy = -4.02 eV per atom

=====

The following is a PBE calculation of a relaxed structure of TaBePb2, from the Alexandria database.

Geometry as POSCAR:
```
TaBePb2
1.0
5.729 0.000 0.000
2.780 5.009 0.000
-4.254 -2.505 2.907
Be Ta Pb
1 1 2
Direct
0.750 0.250 0.500
0.500 0.500 0.000
0.000 0.000 0.000
0.250 0.750 0.500
```

Output
DOS at the Fermi energy = 3.07 states/eV per cell
Symmetry = I-4m2
Crystal system = tetragonal
Uncorrected energy = -4.94 eV per atom
Energy relative to the elements = 3.22 eV per formula unit

=====

The following is a PBE calculation of a relaxed structure of TaTl4Se, from the Alexandria database.

Geometry as POSCAR:
```
TaTl4Se
1.0
-5.999 -0.724 -0.653
-3.792 4.475 1.591
-2.989 3.115 -4.278
Tl Ta Se
4 1 1
Direct
0.375 0.876 0.375
0.375 0.375 0.375
0.876 0.375 0.375
0.375 0.375 0.876
0.000 0.000 0.000
0.750 0.750 0.750
```

Output
DOS at the Fermi energy = 4.71 states/eV per cell
ΔE_f (raw) = 0.88 eV/atom
Symmetry = F-43m
Crystal system = cubic
Uncorrected energy = -3.25 eV per atom

=====

The following is a PBE calculation of a relaxed structure of CdMoRu, from the Alexandria database.

Geometry as POSCAR:
```
CdMoRu
1.0
6.054 -0.010 0.000
4.576 3.964 0.000
-5.315 -1.977 2.120
Ru Cd Mo
1 1 1
Direct
0.685 0.685 0.000
0.003 0.003 0.000
0.311 0.311 0.000
```

Output
DOS at the Fermi energy = 1.71 states/eV per cell
Symmetry = I4mm
Crystal system = tetragonal
Uncorrected energy = -6.82 eV per atom
Energy relative to the elements = 0.55 eV per formula unit

=====

The following is a PBE calculation of a relaxed structure of SrFePb, from the Alexandria database.

Geometry as POSCAR:
```
SrFePb
1.0
-1.645 -5.618 -2.484
1.282 -4.431 -4.378
2.094 -2.546 1.641
Sr Fe Pb
1 1 1
Direct
0.661 0.661 0.339
0.963 0.963 0.037
0.375 0.375 0.625
```

Output
DOS at the Fermi energy = 3.21 states/eV per cell
Symmetry = I4mm
Crystal system = tetragonal
Uncorrected energy = -4.35 eV per atom
Energy relative to the elements = 0.80 eV per formula unit

=====

The following is a PBE calculation of a relaxed structure of CaNd6Tm, from the Alexandria database.

Geometry as POSCAR:
```
CaNd6Tm
1.0
-3.914 -2.711 -2.057
3.190 -4.015 -0.778
-2.378 -3.714 9.415
Ca Nd Tm
1 6 1
Direct
0.000 0.000 0.000
0.500 0.000 0.742
0.000 0.500 0.742
0.500 0.500 0.000
0.500 0.000 0.258
0.500 0.500 0.500
0.000 0.500 0.258
0.000 0.000 0.500
```

Output
DOS at the Fermi energy = 11.89 states/eV per cell
Symmetry = P4/mmm
Crystal system = tetragonal
Uncorrected energy = -4.35 eV per atom
Energy relative to the elements = 0.31 eV per formula unit

=====

The following is a PBE calculation of a relaxed structure of LiSmZnPd, from the Alexandria database.

Geometry as POSCAR:
```
LiSmZnPd
1.0
-3.379 0.502 3.423
1.273 0.053 4.665
-0.281 4.108 2.537
Sm Li Pd Zn
1 1 1 1
Direct
0.750 0.750 0.750
0.250 0.250 0.250
0.500 0.500 0.500
0.000 0.000 0.000
```

Output
DOS at the Fermi energy = 2.58 states/eV per cell
Symmetry = F-43m
Crystal system = cubic
Uncorrected energy = -3.67 eV per atom
Energy relative to the elements = -1.59 eV per formula unit

=====

The following is a PBE calculation of a relaxed structure of NaGeAs3, from the Alexandria database.

Geometry as POSCAR:
```
NaGeAs3
1.0
-1.707 -1.133 -4.613
-4.160 -2.009 2.033
-2.292 4.490 -0.254
Ge As Na
1 3 1
Direct
0.000 0.000 0.000
0.500 0.000 0.000
0.000 0.000 0.500
0.000 0.500 0.000
0.500 0.500 0.500
```

Output
DOS at the Fermi energy = 4.57 states/eV per cell
Symmetry = Pm-3m
Crystal system = cubic
Uncorrected energy = -3.52 eV per atom
Energy relative to the elements = 2.26 eV per formula unit

=====

The following is a PBE calculation of a relaxed structure of Cs2TiPb, from the Alexandria database.

Geometry as POSCAR:
```
Cs2TiPb
1.0
-0.427 -10.622 -0.858
2.074 8.760 5.720
-10.574 1.053 0.918
Cs Pb Ti
4 2 2
Direct
0.632 0.875 0.257
0.625 0.368 0.243
0.618 0.375 0.743
0.125 0.382 0.757
0.000 0.000 0.000
0.250 0.750 0.500
0.750 0.250 0.500
0.500 0.500 0.000
```

Output
DOS at the Fermi energy = 3.80 states/eV per cell
Symmetry = I-42d
Crystal system = tetragonal
Uncorrected energy = -2.79 eV per atom
Energy relative to the elements = 2.14 eV per formula unit

=====

The following is a PBE calculation of a relaxed structure of Pm7BiC2, from the Alexandria database.

Geometry as POSCAR:
```
Pm7BiC2
1.0
5.014 0.000 0.000
0.000 7.747 0.458
0.000 -3.006 7.155
Pm C Bi
7 2 1
Direct
0.000 0.300 0.700
0.500 0.948 0.674
0.500 0.326 0.052
0.000 0.700 0.300
0.500 0.500 0.500
0.500 0.052 0.326
0.500 0.674 0.948
0.500 0.288 0.712
0.500 0.712 0.288
0.000 0.000 0.000
```

Output
DOS at the Fermi energy = 12.34 states/eV per cell
Symmetry = Cmmm
Crystal system = orthorhombic
Uncorrected energy = -5.52 eV per atom
Energy relative to the elements = 0.42 eV per formula unit

=====

Question: The highest DOS at the Fermi energy belongs to which entry?
Answer: Ce4PmTh